1.
First-principles (PBE-GGA) data for an optimized crystal structure of YZrPb2, as listed in Alexandria via LeMat-Bulk. Values from VASP.

## Properties
Density of states at the Fermi level (states/eV per cell): 3.0
V (Å³/f.u.): 104
E_form (eV per atom): -0.27
Magnetic moment (μB/atom): 0.000
Space-group type: P2/m

Structure (Quantum ESPRESSO input):
```
&SYSTEM
  ibrav = 0, nat = 4, ntyp = 3
/
ATOMIC_SPECIES
Y 88.91 Y.upf
Zr 91.22 Zr.upf
Pb 207.20 Pb.upf
CELL_PARAMETERS angstrom
3.442 0.000 0.000
0.000 4.390 0.000
-0.879 0.000 6.895
ATOMIC_POSITIONS crystal
Y 0.000 0.000 0.000
Zr 0.000 0.000 0.500
Pb 0.493 0.500 0.738
Pb 0.507 0.500 0.262
```

2.
First-principles (PBE-GGA) data for an optimized crystal structure of Rb2AuCl, as listed in Alexandria via LeMat-Bulk. Values from VASP.

## Properties
Density of states at the Fermi level (states/eV per cell): 0.0
V (Å³/f.u.): 141
Formation energy from raw total energies (eV per atom): -1.042
Magnetic moment (μB/atom): 0.000
Energy above the most stable polymorph in this dataset (eV/atom): 0.068
Space-group type: Fm-3m

Structure (Quantum ESPRESSO input):
```
&SYSTEM
  ibrav = 0, nat = 16, ntyp = 3
/
ATOMIC_SPECIES
Rb 85.47 Rb.upf
Au 196.97 Au.upf
Cl 35.45 Cl.upf
CELL_PARAMETERS angstrom
8.253 0.000 0.000
0.000 8.253 0.000
0.000 0.000 8.253
ATOMIC_POSITIONS crystal
Rb 0.250 0.250 0.250
Rb 0.250 0.250 0.750
Rb 0.250 0.750 0.250
Rb 0.250 0.750 0.750
Rb 0.750 0.250 0.250
Rb 0.750 0.250 0.750
Rb 0.750 0.750 0.250
Rb 0.750 0.750 0.750
Au 0.000 0.000 0.000
Au 0.000 0.500 0.500
Au 0.500 0.000 0.500
Au 0.500 0.500 0.000
Cl 0.000 0.000 0.500
Cl 0.000 0.500 0.000
Cl 0.500 0.000 0.000
Cl 0.500 0.500 0.500
```

3.
First-principles (PBE-GGA) data for an optimized crystal structure of MgMn2Ir, as listed in Alexandria via LeMat-Bulk. Values from VASP.

## Properties
Density of states at the Fermi level (states/eV per cell): 8.8
V (Å³/f.u.): 59
E_form (eV per atom): 0.05
Magnetic moment (μB/atom): 1.808
Space-group type: I-4m2

Structure (Quantum ESPRESSO input):
```
&SYSTEM
  ibrav = 0, nat = 8, ntyp = 3
/
ATOMIC_SPECIES
Mg 24.30 Mg.upf
Mn 54.94 Mn.upf
Ir 192.22 Ir.upf
CELL_PARAMETERS angstrom
4.382 0.000 0.000
0.000 4.382 0.000
0.000 0.000 6.178
ATOMIC_POSITIONS crystal
Mg 0.000 0.000 0.000
Mg 0.500 0.500 0.500
Mn 0.000 0.000 0.500
Mn 0.000 0.500 0.250
Mn 0.500 0.000 0.750
Mn 0.500 0.500 0.000
Ir 0.000 0.500 0.750
Ir 0.500 0.000 0.250
```